No. 1
Entry from Alexandria via LeMat-Bulk: Ba2AgAs after structural relaxation (PBEsol).

Cell and atoms, written as POSCAR:
```
Ba2AgAs
1.0
-3.476 3.476 8.129
3.476 -3.476 8.129
3.476 3.476 -8.129
Ba Ag As
4 2 2
direct
0.098 0.625 0.973 Ba
0.375 0.348 0.473 Ba
0.652 0.125 0.027 Ba
0.875 0.902 0.527 Ba
0.250 0.750 0.500 Ag
0.500 0.500 0.000 Ag
0.000 0.000 0.000 As
0.750 0.250 0.500 As
```

Output
energy of formation from the pure elements	-0.2452	eV per atom


No. 2
Entry from Alexandria via LeMat-Bulk: TlZn4Si after structural relaxation (PBEsol).

Cell and atoms, written as POSCAR:
```
TlZn4Si
1.0
0.000 3.712 3.712
3.712 0.000 3.712
3.712 3.712 0.000
Tl Zn Si
1 4 1
direct
0.000 0.000 0.000 Tl
0.376 0.376 0.376 Zn
0.376 0.376 0.873 Zn
0.376 0.873 0.376 Zn
0.873 0.376 0.376 Zn
0.750 0.750 0.750 Si
```

Output
raw formation energy	155.3	kJ/mol of formula units


No. 3
Entry from Alexandria via LeMat-Bulk: FeP2PtCl after structural relaxation (PBEsol).

Cell and atoms, written as POSCAR:
```
FeP2PtCl
1.0
4.199 0.000 0.000
0.000 4.199 0.000
0.000 0.000 4.535
Fe P Pt Cl
1 2 1 1
direct
0.000 0.000 0.000 Fe
0.000 0.500 0.000 P
0.500 0.000 0.000 P
0.500 0.500 0.500 Pt
0.000 0.000 0.500 Cl
```

Output
raw formation energy	291.6	kJ/mol of formula units


No. 4
Entry from Alexandria via LeMat-Bulk: Sc2CoSi2 after structural relaxation (PBEsol).

Cell and atoms, written as POSCAR:
```
Sc2CoSi2
1.0
-1.666 1.666 7.602
1.666 -1.666 7.602
1.666 1.666 -7.602
Sc Co Si
2 1 2
direct
0.098 0.098 0.000 Sc
0.902 0.902 0.000 Sc
0.500 0.500 0.000 Co
0.250 0.750 0.500 Si
0.750 0.250 0.500 Si
```

Output
raw formation energy	-94.9	kJ/mol of formula units


No. 5
Entry from Alexandria via LeMat-Bulk: ScHg after structural relaxation (PBEsol).

Cell and atoms, written as POSCAR:
```
ScHg
1.0
3.463 0.000 0.000
0.000 3.463 0.000
0.000 0.000 3.463
Sc Hg
1 1
direct
0.000 0.000 0.000 Sc
0.500 0.500 0.500 Hg
```

Output
energy of formation from the pure elements	-0.5400	eV per atom


No. 6
Entry from Alexandria via LeMat-Bulk: CaLaBi2 after structural relaxation (PBEsol).

Cell and atoms, written as POSCAR:
```
CaLaBi2
1.0
0.000 3.958 3.958
3.958 0.000 3.958
3.958 3.958 0.000
Ca La Bi
1 1 2
direct
0.000 0.000 0.000 Ca
0.500 0.500 0.500 La
0.250 0.250 0.250 Bi
0.750 0.750 0.750 Bi
```

Output
energy of formation from the pure elements	-0.7854	eV per atom


No. 7
Entry from Alexandria via LeMat-Bulk: Ta2TcB2 after structural relaxation (PBEsol).

Cell and atoms, written as POSCAR:
```
Ta2TcB2
1.0
5.973 0.000 0.000
0.000 5.973 0.000
0.000 0.000 3.272
Ta Tc B
4 2 4
direct
0.176 0.324 0.000 Ta
0.324 0.824 0.000 Ta
0.676 0.176 0.000 Ta
0.824 0.676 0.000 Ta
0.000 0.000 0.500 Tc
0.500 0.500 0.500 Tc
0.112 0.612 0.500 B
0.388 0.112 0.500 B
0.612 0.888 0.500 B
0.888 0.388 0.500 B
```

Output
energy of formation from the pure elements	-0.7705	eV per atom


No. 8
Entry from Alexandria via LeMat-Bulk: EuFeO3 after structural relaxation (PBEsol).

Cell and atoms, written as POSCAR:
```
EuFeO3
1.0
3.764 0.000 0.000
0.000 3.764 0.000
0.000 0.000 3.764
Eu Fe O
1 1 3
direct
0.000 0.000 0.000 Eu
0.500 0.500 0.500 Fe
0.000 0.500 0.500 O
0.500 0.000 0.500 O
0.500 0.500 0.000 O
```

Output
raw formation energy	-1049.3	kJ/mol of formula units


No. 9
Entry from Alexandria via LeMat-Bulk: TlSiHg2 after structural relaxation (PBEsol).

Cell and atoms, written as POSCAR:
```
TlSiHg2
1.0
-1.721 2.130 6.447
1.721 -2.130 6.447
1.721 2.130 -6.447
Tl Si Hg
1 1 2
direct
0.000 0.000 0.000 Tl
0.798 0.298 0.500 Si
0.306 0.806 0.500 Hg
0.620 0.620 0.000 Hg
```

Output
raw formation energy	93.0	kJ/mol of formula units


No. 10
Entry from Alexandria via LeMat-Bulk: ZrMoCl after structural relaxation (PBEsol).

Cell and atoms, written as POSCAR:
```
ZrMoCl
1.0
4.435 0.000 0.000
-2.217 3.841 0.000
0.000 0.000 2.967
Zr Mo Cl
1 1 1
direct
0.000 0.000 0.000 Zr
0.667 0.333 0.598 Mo
0.333 0.667 0.613 Cl
```

Output
energy relative to the lowest polymorph listed for this composition	0.00	eV per formula unit
raw formation energy	36.0	kJ/mol of formula units


No. 11
Entry from Alexandria via LeMat-Bulk: Ca2SbN after structural relaxation (PBEsol).

Cell and atoms, written as POSCAR:
```
Ca2SbN
1.0
-3.730 3.730 3.199
3.730 -3.730 3.199
3.730 3.730 -3.199
Ca Sb N
4 2 2
direct
0.029 0.625 0.904 Ca
0.375 0.279 0.404 Ca
0.721 0.125 0.096 Ca
0.875 0.971 0.596 Ca
0.250 0.750 0.500 Sb
0.500 0.500 0.000 Sb
0.000 0.000 0.000 N
0.750 0.250 0.500 N
```

Output
energy relative to the lowest polymorph listed for this composition	0.00	eV per formula unit
raw formation energy	-204.6	kJ/mol of formula units


No. 12
Entry from Alexandria via LeMat-Bulk: ZnBiN3 after structural relaxation (PBEsol).

Cell and atoms, written as POSCAR:
```
ZnBiN3
1.0
3.925 0.000 0.000
0.000 3.925 0.000
0.000 0.000 3.925
Zn Bi N
1 1 3
direct
0.000 0.000 0.000 Zn
0.500 0.500 0.500 Bi
0.000 0.000 0.500 N
0.000 0.500 0.000 N
0.500 0.000 0.000 N
```

Output
raw formation energy	714.2	kJ/mol of formula units